A plane-wave DFT calculation with PBE was carried out for an optimized crystal structure of CsAs.

Output
- density (g/cm3) = 2.343
- size of the total moment (μB per cell) = 2.09
- calculated formation energy (eV per atom) = -0.028
- symmetry = I-43m (217)

abc: 9.147 9.147 9.147
angles: 109.47 109.47 109.47
Positions (direct):
Cs 0.000 0.000 0.425
Cs 0.000 0.425 0.000
Cs 0.425 0.000 0.000
Cs 0.575 0.575 0.575
As 0.000 0.000 0.824
As 0.000 0.824 0.000
As 0.176 0.176 0.176
As 0.824 0.000 0.000